[1]
A plane-wave DFT calculation with PBE-GGA was carried out for an optimized crystal structure of Rb3Co.

Crystal system: cubic
Excess energy over the best structure of this formula in the dataset in eV/atom: 0.093

Unit cell a=5.980 b=5.980 c=5.980 alpha=90.00 beta=90.00 gamma=90.00
Space group Pm-3m (No. 221)
Inequivalent atoms, fractional coordinates:
Rb (0.000, 0.000, 0.500)
Co (0.500, 0.500, 0.500)


[2]
A plane-wave DFT calculation with PBE-GGA was carried out for an optimized crystal structure of Rb2CoS2.

Crystal system: orthorhombic
Uncorrected energy in eV for the cell shown: -84.128

Unit cell a=7.008 b=13.168 c=6.097 alpha=90.00 beta=90.00 gamma=90.00
Space group Ibam (No. 72)
Inequivalent atoms, fractional coordinates:
Rb (0.164, 0.147, 0.000)
Co (0.000, 0.500, 0.250)
S (0.173, 0.405, 0.000)


[3]
A plane-wave DFT calculation with PBE-GGA was carried out for an optimized crystal structure of RbScCoS3.

Crystal system: monoclinic
Uncorrected energy in eV for the cell shown: -131.177

Unit cell a=15.674 b=3.931 c=8.410 alpha=90.00 beta=101.07 gamma=90.00
Space group C2/m (No. 12)
Inequivalent atoms, fractional coordinates:
Rb (0.157, 0.000, 0.063)
Sc (0.161, 0.000, 0.569)
Co (0.005, 0.500, 0.264)
S (0.000, 0.000, 0.500)
S (0.000, 0.500, 0.000)
S (0.144, 0.500, 0.760)
S (0.165, 0.500, 0.364)


[4]
A plane-wave DFT calculation with PBE-GGA was carried out for an optimized crystal structure of RbScCoS3.

Crystal system: monoclinic
Uncorrected energy in eV for the cell shown: -68.511

Unit cell a=8.874 b=3.735 c=9.296 alpha=90.00 beta=112.33 gamma=90.00
Space group P2_1/m (No. 11)
Inequivalent atoms, fractional coordinates:
Rb (0.210, 0.250, 0.236)
Sc (0.334, 0.750, 0.862)
Co (0.078, 0.250, 0.595)
S (0.128, 0.250, 0.853)
S (0.185, 0.750, 0.544)
S (0.472, 0.750, 0.156)


[5]
A plane-wave DFT calculation with PBE-GGA was carried out for an optimized crystal structure of RbCoSeS2.

Crystal system: triclinic
Uncorrected energy in eV for the cell shown: -44.718

Unit cell a=6.158 b=7.110 c=7.443 alpha=104.16 beta=108.02 gamma=109.60
Space group P-1 (No. 2)
Inequivalent atoms, fractional coordinates:
Rb (0.222, 0.356, 0.164)
Co (0.235, 0.935, 0.521)
Se (0.206, 0.648, 0.614)
S (0.174, 0.196, 0.676)
S (0.351, 0.921, 0.272)


[6]
A plane-wave DFT calculation with PBE-GGA was carried out for an optimized crystal structure of RbCo3Sb5.

Crystal system: hexagonal
Uncorrected energy in eV for the cell shown: -44.142

Unit cell a=5.3746 b=5.3746 c=9.1158 alpha=90.00 beta=90.00 gamma=120.00
Space group P6/mmm (No. 191)
Inequivalent atoms, fractional coordinates:
Rb (0.0000, 0.0000, 0.0000)
Co (0.0000, 0.5000, 0.5000)
Sb (0.0000, 0.0000, 0.5000)
Sb (0.3333, 0.6667, 0.2709)


[7]
A plane-wave DFT calculation with PBE-GGA was carried out for an optimized crystal structure of Rb2CoSe3.

Crystal system: triclinic
Uncorrected energy in eV for the cell shown: -46.658

Unit cell a=6.985 b=7.492 c=9.068 alpha=72.37 beta=68.74 gamma=66.50
Space group P-1 (No. 2)
Inequivalent atoms, fractional coordinates:
Rb (0.092, 0.192, 0.132)
Rb (0.342, 0.549, 0.314)
Co (0.379, 0.052, 0.671)
Se (0.180, 0.359, 0.720)
Se (0.277, 0.970, 0.493)
Se (0.384, 0.828, 0.900)


[8]
A plane-wave DFT calculation with PBE-GGA was carried out for an optimized crystal structure of Rb2Co3Se4.

Crystal system: orthorhombic
Uncorrected energy in eV for the cell shown: -336.772

Unit cell a=5.990 b=10.407 c=28.519 alpha=90.00 beta=90.00 gamma=90.00
Space group Fddd (No. 70, origin choice 2)
Inequivalent atoms, fractional coordinates:
Rb (0.125, 0.125, 0.048)
Co (0.125, 0.125, 0.375)
Co (0.125, 0.125, 0.625)
Se (0.122, 0.292, 0.570)